1.
## HPd3Pt (PBE)

Data for HPd3Pt after structural relaxation.

abc: 8.4040 8.4040 3.4211
angles: 90.00 90.00 120.00
Last column: nearest neighbours and their distance in Å.
Space group R3m (No. 160, hexagonal axes)
Symmetry-distinct sites (fractional):
1 H 0.0000 0.0000 0.0000 (multiplicity 3)  2 Pt 1.69-1.73
2 Pd 0.0320 0.5160 0.6504 (multiplicity 9)  1 H 2.19
3 Pt 0.0000 0.0000 0.5062 (multiplicity 3)  2 H 1.69-1.73

The total magnetization is 0.00 μB/atom. Its energy above the most stable polymorph in this dataset is 219 meV per atom.

2.
## InNiSe2Br (PBE)

Data for InNiSe2Br after structural relaxation.

abc: 5.2922 5.2922 5.3719
angles: 90.00 90.00 90.00
Last column: nearest neighbours and their distance in Å.
Space group P4/mmm (No. 123)
Symmetry-distinct sites (fractional):
1 In 0.0000 0.0000 0.0000 (multiplicity 1)  4 Se 2.65, 2 Br 2.69
2 Ni 0.5000 0.5000 0.5000 (multiplicity 1)  4 Br 3.74, 8 Se 3.77
3 Se 0.0000 0.5000 0.0000 (multiplicity 2)  2 In 2.65
4 Br 0.0000 0.0000 0.5000 (multiplicity 1)  2 In 2.69

The total magnetization is 0.35 μB/atom. Its energy above the most stable polymorph in this dataset is 671 meV per atom. For the uncorrected formation energy, the calculation gives 0.681 eV per atom.

> Number 1 is which compound?

HPd3Pt